# 1
Compound: DyZnHg
Source: the Alexandria database
Functional: PBE-GGA
Structure: optimized geometry

Unit cell a=4.6849 b=5.8557 c=5.8543 alpha=72.97 beta=66.41 gamma=66.42
Atoms (fractional coordinates):
Dy (0.5008, 0.2506, 0.7479)
Dy (0.4992, 0.7494, 0.2521)
Zn (0.8440, 0.1569, 0.1552)
Zn (0.1560, 0.8431, 0.8448)
Hg (0.1771, 0.3242, 0.3216)
Hg (0.8229, 0.6758, 0.6784)

***

# 2
Compound: Dy4ZnHg2
Source: the Alexandria database
Functional: PBE-GGA
Structure: optimized geometry

Unit cell a=5.1492 b=5.1492 c=8.8366 alpha=73.06 beta=73.06 gamma=60.00
Atoms (fractional coordinates):
Dy (0.8749, 0.8749, 0.3753)
Dy (0.1251, 0.1251, 0.6247)
Dy (0.6239, 0.6239, 0.1283)
Dy (0.3761, 0.3761, 0.8717)
Zn (0.0000, 0.0000, 0.0000)
Hg (0.7500, 0.7500, 0.7499)
Hg (0.2500, 0.2500, 0.2501)

***

E_form
In order: -1.2; -1.9
Unit: eV per formula unit